Below is TaIr2 after structural relaxation, with properties calculated at the GGA-PBE level.

Cell lengths 3.8557, 3.8557, 3.6849 Å; angles 90.00, 90.00, 90.00 degrees
With the nearest neighbours (Å) after each atom.
Fractional coordinates of all 3 atoms:
Ir 0.5000 0.0000 0.5000  4 Ta 2.67, 4 Ir 2.73
Ir 0.0000 0.5000 0.5000  4 Ta 2.67, 4 Ir 2.73
Ta 0.0000 0.0000 0.0000  8 Ir 2.67

## Properties
DOS(E_F) in states/eV per atom: 0.526
Calculated formation energy in meV per atom: 40
Calculated total energy in eV per atom: -9.82

***

Below is AcTm2In2 after structural relaxation, with properties calculated at the GGA-PBE level.

Cell lengths 4.8255, 4.7617, 14.2899 Å; angles 99.59, 99.72, 90.00 degrees
With the nearest neighbours (Å) after each atom.
Fractional coordinates of all 10 atoms:
In 0.6217 0.8717 0.2434  1 In 2.84, 2 Tm 3.13
In 0.2762 0.0262 0.5524  3 In 2.82-2.84
In 0.3783 0.1283 0.7566  1 In 2.84, 2 Tm 3.13
In 0.7238 0.9738 0.4476  3 In 2.82-2.84
Tm 0.5487 0.2987 0.0974  2 In 3.13, 4 Tm 3.39
Tm 0.0456 0.7956 0.0913  2 In 3.21, 8 Tm 3.39-3.56
Tm 0.9544 0.2044 0.9087  2 In 3.21, 8 Tm 3.39-3.56
Tm 0.4513 0.7013 0.9026  2 In 3.13, 4 Tm 3.39
Ac 0.1724 0.4224 0.3449  10 In 3.67-3.74
Ac 0.8276 0.5776 0.6551  10 In 3.67-3.74

## Properties
DOS(E_F) in states/eV per atom: 1.307
Calculated formation energy in meV per atom: -264
Excess energy over the best structure of this formula in the dataset in eV per atom: 0.000
Calculated total energy in eV per atom: -3.97

***

Below is NpPaBi2 after structural relaxation, with properties calculated at the GGA-PBE level.

Cell lengths 5.4341, 5.4341, 5.4341 Å; angles 60.00, 60.00, 60.00 degrees
With the nearest neighbours (Å) after each atom.
Fractional coordinates of all 4 atoms:
Np 0.5000 0.5000 0.5000  8 Bi 3.33
Bi 0.7500 0.7500 0.7500  4 Pa 3.33, 4 Np 3.33
Bi 0.2500 0.2500 0.2500  4 Pa 3.33, 4 Np 3.33
Pa 0.0000 0.0000 0.0000  8 Bi 3.33

## Properties
DOS(E_F) in states/eV per atom: 4.478
Calculated formation energy in meV per atom: 10
Excess energy over the best structure of this formula in the dataset in eV per atom: 0.012
Calculated total energy in eV per atom: -7.54

***

Below is Al2CdMo after structural relaxation, with properties calculated at the GGA-PBE level.

Cell lengths 6.4706, 4.9678, 2.8556 Å; angles 90.03, 63.76, 121.61 degrees
With the nearest neighbours (Å) after each atom.
Fractional coordinates of all 4 atoms:
Al 0.0000 0.0000 0.0000  4 Al 2.86-2.90, 4 Mo 2.86-2.87, 4 Cd 2.86-2.87
Al 0.5000 0.0000 0.5000  4 Al 2.86-2.90, 4 Cd 2.86-2.87, 4 Mo 2.86-2.87
Mo 0.5000 0.5000 0.0000  2 Mo 2.86, 8 Al 2.86-2.87, 2 Cd 2.90
Cd 0.0000 0.5000 0.5000  2 Cd 2.86, 8 Al 2.86-2.87, 2 Mo 2.90

## Properties
DOS(E_F) in states/eV per atom: 0.627
Calculated formation energy in meV per atom: 76
Calculated total energy in eV per atom: -4.73

***

Below is Dy4Bi2Te after structural relaxation, with properties calculated at the GGA-PBE level.

Cell lengths 7.7782, 6.7790, 9.4353 Å; angles 90.00, 116.14, 90.00 degrees
With the nearest neighbours (Å) after each atom.
Fractional coordinates of all 14 atoms:
Dy 0.8363 0.2500 0.1521  1 Te 2.97, 1 Bi 3.16
Dy 0.1637 0.7500 0.8479  1 Te 2.97, 1 Bi 3.16
Dy 0.9702 0.2500 0.5761  1 Te 3.03, 1 Bi 3.17
Dy 0.4987 0.5031 0.7323  1 Te 3.05, 4 Bi 3.18-3.30, 1 Dy 3.35
Dy 0.5013 0.0031 0.2677  1 Te 3.05, 4 Bi 3.18-3.30, 1 Dy 3.35
Dy 0.5013 0.4969 0.2677  1 Te 3.05, 4 Bi 3.18-3.30, 1 Dy 3.35
Dy 0.4987 0.9969 0.7323  1 Te 3.05, 4 Bi 3.18-3.30, 1 Dy 3.35
Dy 0.0298 0.7500 0.4239  1 Te 3.03, 1 Bi 3.17
Bi 0.6471 0.7500 0.0566  6 Dy 3.19-3.43, 1 Te 3.54
Bi 0.3529 0.2500 0.9434  6 Dy 3.19-3.43, 1 Te 3.54
Bi 0.2607 0.2500 0.4229  6 Dy 3.16-3.30
Bi 0.7393 0.7500 0.5771  6 Dy 3.16-3.30
Te 0.1411 0.7500 0.1538  4 Dy 2.97-3.05
Te 0.8589 0.2500 0.8462  4 Dy 2.97-3.05

## Properties
DOS(E_F) in states/eV per atom: 0.893
Excess energy over the best structure of this formula in the dataset in eV per atom: 0.153
E_form (uncorrected) in eV/f.u.: -4.8
Calculated total energy in eV per atom: -4.87

***

Below is LiCO after structural relaxation, with properties calculated at the GGA-PBE level.

Cell lengths 2.8078, 5.0511, 5.0521 Å; angles 59.28, 73.98, 74.02 degrees
With the nearest neighbours (Å) after each atom.
Fractional coordinates of all 6 atoms:
O 0.1516 0.1569 0.7116  1 C 1.31
O 0.4259 0.8847 0.4395  1 C 1.31
Li 0.6288 0.8790 0.0360  3 O 1.97-2.07
Li 0.9483 0.5602 0.7174  3 O 1.97-2.07
C 0.2893 0.1512 0.4452  2 O 1.31, 1 C 1.43
C 0.2903 0.4377 0.1586  1 C 1.43

## Properties
DOS(E_F) in states/eV per atom: 0.205
Excess energy over the best structure of this formula in the dataset in eV per atom: 0.428
E_form (uncorrected) in eV/f.u.: -2.0
Calculated total energy in eV per atom: -6.04

***

Below is HfAgSbTe2 after structural relaxation, with properties calculated at the GGA-PBE level.

Cell lengths 5.5326, 5.5326, 5.5660 Å; angles 90.00, 90.00, 90.00 degrees
With the nearest neighbours (Å) after each atom.
Fractional coordinates of all 5 atoms:
Te 0.0000 0.5000 0.0000  2 Hf 2.77
Te 0.5000 0.0000 0.0000  2 Hf 2.77
Ag 0.5000 0.5000 0.5000  4 Sb 3.91, 8 Te 3.92
Sb 0.0000 0.0000 0.5000  2 Hf 2.78
Hf 0.0000 0.0000 0.0000  4 Te 2.77, 2 Sb 2.78

## Properties
DOS(E_F) in states/eV per atom: 0.907
Excess energy over the best structure of this formula in the dataset in eV per atom: 0.000
E_form (uncorrected) in eV/f.u.: 1.1
Calculated total energy in eV per atom: -4.43

***

Below is Ca2TaCu after structural relaxation, with properties calculated at the GGA-PBE level.

Cell lengths 4.6718, 3.4000, 6.4608 Å; angles 74.73, 90.00, 90.00 degrees
With the nearest neighbours (Å) after each atom.
Fractional coordinates of all 4 atoms:
Ca 0.5000 0.2865 0.3019  2 Ta 3.11-3.12, 4 Cu 3.23-3.24, 2 Ca 3.40
Ca 0.0000 0.9659 0.9410  2 Cu 3.03-3.05, 4 Ta 3.20
Ta 0.5000 0.5751 0.7209  2 Cu 2.60
Cu 0.0000 0.6726 0.5362  2 Ta 2.60

## Properties
DOS(E_F) in states/eV per atom: 0.769
Calculated formation energy in meV per atom: 556
Excess energy over the best structure of this formula in the dataset in eV per atom: 0.222
Calculated total energy in eV per atom: -4.43

***

Below is Eu2YPd after structural relaxation, with properties calculated at the GGA-PBE level.

Cell lengths 3.6767, 3.6767, 8.9976 Å; angles 90.00, 90.00, 90.00 degrees
With the nearest neighbours (Å) after each atom.
Fractional coordinates of all 4 atoms:
Eu 0.0000 0.0000 0.8063  4 Pd 3.13, 1 Eu 3.48
Eu 0.0000 0.0000 0.1937  4 Pd 3.13, 1 Eu 3.48
Pd 0.5000 0.5000 0.0000  8 Eu 3.13
Y 0.5000 0.5000 0.5000  4 Y 3.68, 8 Eu 3.79

## Properties
DOS(E_F) in states/eV per atom: 3.579
Calculated formation energy in meV per atom: -264
Excess energy over the best structure of this formula in the dataset in eV per atom: 0.000
Calculated total energy in eV per atom: -8.32

***

Below is PmEr2Th3 after structural relaxation, with properties calculated at the GGA-PBE level.

Cell lengths 6.1966, 7.1084, 9.4354 Å; angles 112.13, 90.04, 90.00 degrees
With the nearest neighbours (Å) after each atom.
Fractional coordinates of all 12 atoms:
Er 0.5831 0.9571 0.6616  3 Er 3.48-3.58, 7 Th 3.51-3.61, 2 Pm 3.61-3.63
Er 0.4169 0.0429 0.3384  3 Er 3.48-3.58, 7 Th 3.51-3.61, 2 Pm 3.61-3.63
Er 0.9169 0.2955 0.3384  3 Er 3.48-3.58, 7 Th 3.51-3.61, 2 Pm 3.61-3.63
Er 0.0831 0.7045 0.6616  3 Er 3.48-3.58, 7 Th 3.51-3.61, 2 Pm 3.61-3.63
Th 0.7500 0.3793 0.0000  4 Pm 3.48-3.63, 6 Th 3.53-3.56, 2 Er 3.61
Th 0.5816 0.4537 0.6670  6 Er 3.51-3.60, 5 Th 3.53-3.60, 1 Pm 3.56
Th 0.4184 0.5463 0.3330  6 Er 3.51-3.60, 5 Th 3.53-3.60, 1 Pm 3.56
Th 0.0816 0.2133 0.6670  6 Er 3.51-3.60, 5 Th 3.53-3.60, 1 Pm 3.56
Th 0.2500 0.6207 0.0000  4 Pm 3.48-3.63, 6 Th 3.53-3.56, 2 Er 3.61
Th 0.9184 0.7867 0.3330  6 Er 3.51-3.60, 5 Th 3.53-3.60, 1 Pm 3.56
Pm 0.2500 0.1308 0.0000  6 Th 3.48-3.63, 4 Er 3.61-3.63, 2 Pm 3.61
Pm 0.7500 0.8692 0.0000  6 Th 3.48-3.63, 4 Er 3.61-3.63, 2 Pm 3.61

## Properties
DOS(E_F) in states/eV per atom: 1.502
Calculated formation energy in meV per atom: 48
Calculated total energy in eV per atom: -5.97

***

Below is Ac3MgCo3 after structural relaxation, with properties calculated at the GGA-PBE level.

Cell lengths 4.3252, 6.0031, 14.2241 Å; angles 90.00, 90.00, 111.12 degrees
With the nearest neighbours (Å) after each atom.
Fractional coordinates of all 14 atoms:
Co 0.8101 0.6202 0.7500  2 Co 2.34
Co 0.0934 0.1869 0.1041  1 Co 2.34
Co 0.1899 0.3798 0.2500  2 Co 2.34
Co 0.9066 0.8131 0.6041  1 Co 2.34
Co 0.0934 0.1869 0.3959  1 Co 2.34
Co 0.9066 0.8131 0.8959  1 Co 2.34
Mg 0.5000 0.0000 0.0000  4 Co 2.82
Mg 0.5000 0.0000 0.5000  4 Co 2.82
Ac 0.2110 0.4219 0.8942  6 Co 3.08-3.41
Ac 0.2110 0.4219 0.6058  6 Co 3.08-3.41
Ac 0.7890 0.5781 0.1058  6 Co 3.08-3.41
Ac 0.4934 0.9867 0.7500  6 Co 2.98-3.15
Ac 0.7890 0.5781 0.3942  6 Co 3.08-3.41
Ac 0.5066 0.0133 0.2500  6 Co 2.98-3.15

## Properties
DOS(E_F) in states/eV per atom: 0.969
Calculated formation energy in meV per atom: 31
Calculated total energy in eV per atom: -5.00